Below is a relaxed structure of K2HfAgP, with properties calculated at the PBE level.

Summary:
* density of states at the Fermi level: 2.02 states/eV per cell
* ΔE_f: 0.903 eV per atom
* total magnetic moment: 2.00 μB/cell

a = 6.366 Å, b = 6.366 Å, c = 4.615 Å
α = 90.00°, β = 90.00°, γ = 90.00°
Fractional positions:
K1 0.000 0.500 0.000
K2 0.500 0.000 0.000
Hf1 0.000 0.000 0.500
Ag1 0.500 0.500 0.500
P1 0.500 0.500 0.000